CaBr: optimized geometry, PBE.

a = 6.133 Å, b = 6.133 Å, c = 6.133 Å
α = 90.00°, β = 90.00°, γ = 90.00°
Fractional positions:
Ca1 0.000 0.000 0.000
Ca2 0.000 0.500 0.500
Ca3 0.500 0.000 0.500
Ca4 0.500 0.500 0.000
Br1 0.500 0.500 0.500
Br2 0.500 0.000 0.000
Br3 0.000 0.500 0.000
Br4 0.000 0.000 0.500

Values from the calculation:
V, Å³ per cell: 230.6
Formation energy without anion corrections, eV per atom: -1.169
Symmetry: Fm-3m (225)
Crystal system: cubic
Magnetization, μB/atom: 0.000
Total DFT energy (no corrections), eV/atom: -3.007
DOS(E_F), states/eV per cell: 4.2

---

KBe2Zn2: optimized geometry, PBE.

a = 7.966 Å, b = 7.966 Å, c = 2.533 Å
α = 90.00°, β = 90.00°, γ = 90.00°
Fractional positions:
Be1 0.141 0.641 0.500
Be2 0.641 0.859 0.500
Be3 0.859 0.359 0.500
Be4 0.359 0.141 0.500
Zn1 0.365 0.865 0.000
Zn2 0.865 0.635 0.000
Zn3 0.635 0.135 0.000
Zn4 0.135 0.365 0.000
K1 0.000 0.000 0.000
K2 0.500 0.500 0.000

Values from the calculation:
V, Å³ per cell: 160.7
Symmetry: P4/mbm (127)
Crystal system: tetragonal
Magnetization, μB/atom: 0.000
Total DFT energy (no corrections), eV/atom: -1.813
ΔE_f, eV per atom: 0.407
DOS(E_F), states/eV per cell: 2.8

---

Nb2VTe5: optimized geometry, PBE.

a = 4.895 Å, b = 7.332 Å, c = 7.715 Å
α = 83.92°, β = 71.50°, γ = 70.50°
Fractional positions:
Nb1 0.808 0.500 0.885
Nb2 0.192 0.500 0.115
V1 0.500 0.500 0.500
Te1 0.216 0.754 0.814
Te2 0.530 0.754 0.186
Te3 0.000 0.500 0.500
Te4 0.784 0.246 0.186
Te5 0.470 0.246 0.814

Values from the calculation:
V, Å³ per cell: 247.5
Formation energy without anion corrections, eV per atom: -0.210
Excess energy over the best structure of this formula in the dataset, meV per atom: 0
Symmetry: Fmmm (69)
Crystal system: orthorhombic
Magnetization, μB/atom: 0.215
Total DFT energy (no corrections), eV/atom: -5.831
DOS(E_F), states/eV per cell: 3.9

---

Ac2Tm3Pb2: optimized geometry, PBE.

a = 4.592 Å, b = 6.859 Å, c = 8.932 Å
α = 113.38°, β = 90.00°, γ = 109.56°
Fractional positions:
Ac1 0.856 0.712 0.200
Ac2 0.144 0.288 0.800
Tm1 0.500 0.000 0.000
Tm2 0.616 0.231 0.441
Tm3 0.384 0.769 0.559
Pb1 0.844 0.689 0.772
Pb2 0.156 0.311 0.228

Values from the calculation:
V, Å³ per cell: 240.5
Symmetry: C2/m (12)
Crystal system: monoclinic
Magnetization, μB/atom: 0.000
Total DFT energy (no corrections), eV/atom: -4.460
ΔE_f, eV per atom: -0.310
DOS(E_F), states/eV per cell: 7.6